Entry 1:
{
  "formula": "TbCu4Au8",
  "functional": "PBE",
  "state": "relaxed",
  "dft_energy_ev_per_atom": -3.88,
  "dos_ef_per_ev_fu": 4.91,
  "lattice": [[-0.5626, -1.9537, 4.9089], [-5.0271, -4.8806, 0.3569], [4.0966, -5.5835, 1.1228]],
  "species": ["Cu", "Cu", "Cu", "Cu", "Au", "Au", "Au", "Au", "Au", "Au", "Au", "Au", "Tb"],
  "frac_coords": [[0.0000, 0.0000, 0.5000], [0.5000, 0.0000, 0.5000], [0.5000, 0.5000, 0.0000], [0.0000, 0.5000, 0.0000], [0.5000, 0.2186, 0.7814], [0.0000, 0.3358, 0.6642], [0.7186, 0.7814, 0.7814], [0.6642, 0.3358, 0.3358], [0.5000, 0.7814, 0.2186], [0.2814, 0.2186, 0.2186], [0.0000, 0.6642, 0.3358], [0.3358, 0.6642, 0.6642], [0.0000, 0.0000, 0.0000]]
}

Entry 2:
{
  "formula": "FeAsRhSe2",
  "functional": "PBE",
  "state": "relaxed",
  "e_form_raw_ev_per_atom": 0.622,
  "dos_ef_per_ev_fu": 4.31,
  "lattice": [[4.6414, 0.0000, 0.0000], [0.0000, 4.6414, 0.0000], [0.0000, 0.0000, 4.4211]],
  "species": ["Se", "Se", "Rh", "Fe", "As"],
  "frac_coords": [[0.0000, 0.5000, 0.0000], [0.5000, 0.0000, 0.0000], [0.5000, 0.5000, 0.5000], [0.0000, 0.0000, 0.0000], [0.0000, 0.0000, 0.5000]]
}

Entry 3:
{
  "formula": "Pr7ThTl4",
  "functional": "PBE",
  "state": "relaxed",
  "dft_energy_ev_per_atom": -4.25,
  "dos_ef_per_ev_fu": 12.69,
  "lattice": [[-4.0920, -2.2174, 3.9704], [-1.2880, -9.2135, -1.7599], [3.4836, -4.5318, 5.7724]],
  "species": ["Pr", "Pr", "Pr", "Pr", "Pr", "Pr", "Pr", "Tl", "Tl", "Tl", "Tl", "Th"],
  "frac_coords": [[0.5000, 0.0000, 0.0000], [0.2584, 0.6934, 0.7898], [0.1969, 0.1150, 0.4912], [0.7416, 0.3066, 0.2102], [0.9357, 0.3948, 0.7337], [0.8031, 0.8850, 0.5088], [0.0643, 0.6052, 0.2663], [0.5404, 0.2940, 0.6252], [0.6890, 0.6606, 0.9614], [0.3110, 0.3394, 0.0386], [0.4596, 0.7060, 0.3748], [0.0000, 0.0000, 0.0000]]
}